*P*
Material: MgTl2Ga2
Method: DFT, PBE
State: relaxed

Lattice parameters (Å, degrees): 8.253 8.253 3.779 90.00 90.00 90.00
Fractional positions:
Ga 0.872 0.372 0.500
Tl 0.832 0.668 0.000
Ga 0.372 0.128 0.500
Tl 0.168 0.332 0.000
Mg 0.000 0.000 0.000
Ga 0.628 0.872 0.500
Tl 0.332 0.832 0.000
Mg 0.500 0.500 0.000
Ga 0.128 0.628 0.500
Tl 0.668 0.168 0.000

SG: P4/mbm
Total moment, μB/atom: 0.000
DOS at the Fermi energy, states/eV/cell: 4.6

=====

*Q*
Material: MgTl2Ga2
Method: DFT, PBE
State: relaxed

Lattice parameters (Å, degrees): 3.756 3.756 9.317 78.37 78.37 90.00
Fractional positions:
Ga 0.250 0.750 0.500
Tl 0.396 0.396 0.207
Mg 0.000 0.000 0.000
Ga 0.750 0.250 0.500
Tl 0.604 0.604 0.793

SG: I4/mmm
Total moment, μB/atom: 0.000
DOS at the Fermi energy, states/eV/cell: 2.4

=====

*R*
Material: MgTl2Ga2
Method: DFT, PBE
State: relaxed

Lattice parameters (Å, degrees): 7.382 7.382 4.546 90.00 90.00 90.00
Fractional positions:
Ga 0.372 0.872 0.000
Tl 0.678 0.822 0.500
Ga 0.128 0.372 0.000
Ga 0.628 0.128 0.000
Ga 0.872 0.628 0.000
Tl 0.322 0.178 0.500
Tl 0.178 0.678 0.500
Mg 0.500 0.500 0.000
Tl 0.822 0.322 0.500
Mg 0.000 0.000 0.000

SG: P4/mbm
Total moment, μB/atom: 0.000
DOS at the Fermi energy, states/eV/cell: 4.3

=====

*S*
Material: MgTl2Ga2
Method: DFT, PBE
State: relaxed

Lattice parameters (Å, degrees): 4.686 4.686 6.924 70.22 70.22 90.00
Fractional positions:
Ga 0.602 0.602 0.797
Ga 0.398 0.398 0.203
Tl 0.750 0.250 0.500
Mg 0.000 0.000 0.000
Tl 0.250 0.750 0.500

SG: I4/mmm
Total moment, μB/atom: 0.000
DOS at the Fermi energy, states/eV/cell: 2.6

=====

Stability comparison, relative energies in eV/atom: *P* 0.090; *Q* 0.021; *R* 0.000; *S* 0.124

=====

*P*
Material: Mg2TlGa
Method: DFT, PBE
State: relaxed

Lattice parameters (Å, degrees): 5.007 5.007 5.007 60.00 60.00 60.00
Fractional positions:
Tl 0.500 0.500 0.500
Mg 0.250 0.250 0.250
Ga 0.000 0.000 0.000
Mg 0.750 0.750 0.750

SG: Fm-3m
Total moment, μB/atom: 0.000
DOS at the Fermi energy, states/eV/cell: 0.4

=====

*Q*
Material: Mg2TlGa
Method: DFT, PBE
State: relaxed

Lattice parameters (Å, degrees): 4.629 4.629 5.939 67.06 67.06 60.00
Fractional positions:
Mg 0.057 0.057 0.828
Mg 0.275 0.275 0.175
Tl 0.491 0.491 0.528
Ga 0.677 0.677 0.969

SG: R3m
Total moment, μB/atom: 0.000
DOS at the Fermi energy, states/eV/cell: 1.5

=====

*R*
Material: Mg2TlGa
Method: DFT, PBE
State: relaxed

Lattice parameters (Å, degrees): 3.518 3.518 7.182 90.00 90.00 90.00
Fractional positions:
Mg 0.000 0.000 0.224
Mg 0.000 0.000 0.776
Ga 0.500 0.500 0.000
Tl 0.500 0.500 0.500

SG: P4/mmm
Total moment, μB/atom: 0.000
DOS at the Fermi energy, states/eV/cell: 1.7

=====

Stability comparison, relative energies in eV/atom: *P* 0.023; *Q* 0.070; *R* 0.000

=====

*P*
Material: Mg2TlGa
Method: DFT, PBE
State: relaxed

Lattice parameters (Å, degrees): 3.343 3.343 9.551 79.92 79.92 60.00
Fractional positions:
Mg 0.743 0.743 0.771
Tl 0.500 0.500 0.500
Ga 0.000 0.000 0.000
Mg 0.257 0.257 0.229

SG: R-3m
Total moment, μB/atom: 0.000
DOS at the Fermi energy, states/eV/cell: 1.7

=====

*Q*
Material: Mg2TlGa
Method: DFT, PBE
State: relaxed

Lattice parameters (Å, degrees): 4.457 4.457 10.392 77.62 77.62 90.00
Fractional positions:
Mg 0.375 0.388 0.750
Ga 0.250 0.750 0.500
Tl 0.750 0.250 0.500
Ga 0.500 0.500 0.000
Tl 0.000 0.000 0.000
Mg 0.875 0.862 0.750
Mg 0.612 0.125 0.250
Mg 0.138 0.625 0.250

SG: I-42d
Total moment, μB/atom: 0.000
DOS at the Fermi energy, states/eV/cell: 3.6

=====

Stability comparison, relative energies in eV/atom: *P* 0.000; *Q* 0.149

=====

*P*
Material: MgTlGa2
Method: DFT, PBE
State: relaxed

Lattice parameters (Å, degrees): 4.377 4.470 4.470 90.00 90.00 90.00
Fractional positions:
Ga 0.000 0.000 0.500
Mg 0.500 0.500 0.500
Tl 0.500 0.000 0.000
Ga 0.000 0.500 0.000

SG: P4/mmm
Total moment, μB/atom: 0.000
DOS at the Fermi energy, states/eV/cell: 2.6

=====

*Q*
Material: MgTlGa2
Method: DFT, PBE
State: relaxed

Lattice parameters (Å, degrees): 3.300 3.300 9.870 80.38 80.38 60.00
Fractional positions:
Ga 0.255 0.255 0.234
Tl 0.500 0.500 0.500
Mg 0.000 0.000 0.000
Ga 0.745 0.745 0.766

SG: R-3m
Total moment, μB/atom: 0.000
DOS at the Fermi energy, states/eV/cell: 1.8

=====

Stability comparison, relative energies in eV/atom: *P* 0.000; *Q* 0.028

=====

*P*
Material: MgTlGa2
Method: DFT, PBE
State: relaxed

Lattice parameters (Å, degrees): 5.054 5.054 5.054 60.00 60.00 60.00
Fractional positions:
Tl 0.500 0.500 0.500
Mg 0.000 0.000 0.000
Ga 0.750 0.750 0.750
Ga 0.250 0.250 0.250

SG: Fm-3m
Total moment, μB/atom: 0.000
DOS at the Fermi energy, states/eV/cell: 2.2

=====

*Q*
Material: MgTlGa2
Method: DFT, PBE
State: relaxed

Lattice parameters (Å, degrees): 4.184 4.184 10.977 79.01 79.01 90.00
Fractional positions:
Mg 0.250 0.750 0.500
Mg 0.500 0.500 0.000
Tl 0.750 0.250 0.500
Ga 0.142 0.625 0.250
Ga 0.375 0.392 0.750
Tl 0.000 0.000 0.000
Ga 0.608 0.125 0.250
Ga 0.875 0.858 0.750

SG: I-42d
Total moment, μB/atom: 0.000
DOS at the Fermi energy, states/eV/cell: 4.6

=====

Stability comparison, relative energies in eV/atom: *P* 0.000; *Q* 0.037

=====

*P*
Material: Mg3TlGa
Method: DFT, PBE
State: relaxed

Lattice parameters (Å, degrees): 5.340 5.340 5.340 90.00 90.00 90.00
Fractional positions:
Mg 0.000 0.000 0.500
Mg 0.500 0.000 0.000
Ga 0.500 0.500 0.500
Mg 0.000 0.500 0.000
Tl 0.000 0.000 0.000

SG: Pm-3m
Total moment, μB/atom: 0.000
DOS at the Fermi energy, states/eV/cell: 3.0

=====

*Q*
Material: Mg3TlGa
Method: DFT, PBE
State: relaxed

Lattice parameters (Å, degrees): 5.117 5.117 5.117 90.00 90.00 90.00
Fractional positions:
Tl 0.500 0.500 0.500
Ga 0.000 0.000 0.000
Mg 0.000 0.000 0.500
Mg 0.500 0.000 0.000
Mg 0.000 0.500 0.000

SG: Pm-3m
Total moment, μB/atom: 0.000
DOS at the Fermi energy, states/eV/cell: 2.4

=====

*R*
Material: Mg3TlGa
Method: DFT, PBE
State: relaxed

Lattice parameters (Å, degrees): 5.520 7.139 7.139 119.96 90.00 90.00
Fractional positions:
Mg 0.250 0.808 0.192
Mg 0.750 0.192 0.383
Mg 0.750 0.192 0.808
Mg 0.750 0.617 0.808
Tl 0.750 0.666 0.334
Tl 0.250 0.334 0.666
Mg 0.250 0.808 0.617
Ga 0.500 0.000 0.000
Mg 0.250 0.383 0.192
Ga 0.000 0.000 0.000

SG: P6_3/mmc
Total moment, μB/atom: 0.000
DOS at the Fermi energy, states/eV/cell: 4.6

=====

*S*
Material: Mg3TlGa
Method: DFT, PBE
State: relaxed

Lattice parameters (Å, degrees): 4.337 5.727 9.621 90.00 76.93 90.00
Fractional positions:
Tl 0.268 0.750 0.460
Tl 0.732 0.250 0.540
Ga 0.055 0.750 0.889
Mg 0.110 0.250 0.786
Mg 0.347 0.250 0.306
Mg 0.500 0.500 0.000
Mg 0.500 0.000 0.000
Mg 0.653 0.750 0.694
Ga 0.945 0.250 0.111
Mg 0.890 0.750 0.214

SG: P2_1/m
Total moment, μB/atom: 0.000
DOS at the Fermi energy, states/eV/cell: 3.1

=====

Stability comparison, relative energies in eV/atom: *P* 0.434; *Q* 0.147; *R* 0.062; *S* 0.000

=====

*P*
Material: Mg3Tl2Ga
Method: DFT, PBE
State: relaxed

Lattice parameters (Å, degrees): 3.450 3.450 11.678 90.00 90.00 90.00
Fractional positions:
Ga 0.500 0.500 0.500
Tl 0.500 0.500 0.174
Tl 0.500 0.500 0.826
Mg 0.000 0.000 0.644
Mg 0.000 0.000 0.356
Mg 0.000 0.000 0.000

SG: P4/mmm
Total moment, μB/atom: 0.000
DOS at the Fermi energy, states/eV/cell: 1.9

=====

*Q*
Material: Mg3Tl2Ga
Method: DFT, PBE
State: relaxed

Lattice parameters (Å, degrees): 5.075 8.015 7.192 90.00 90.00 71.54
Fractional positions:
Mg 0.826 0.348 0.773
Tl 0.666 0.669 0.500
Tl 0.334 0.331 0.500
Ga 0.665 0.671 0.000
Mg 0.174 0.652 0.773
Ga 0.335 0.329 0.000
Mg 0.174 0.652 0.227
Mg 0.500 0.000 0.236
Mg 0.826 0.348 0.227
Mg 0.500 0.000 0.764
Tl 0.000 0.000 0.500
Tl 0.000 0.000 0.000

SG: Cmmm
Total moment, μB/atom: 0.000
DOS at the Fermi energy, states/eV/cell: 4.3

=====

Stability comparison, relative energies in eV/atom: *P* 0.000; *Q* 0.006

=====

*P*
Material: TmMgTlGa
Method: DFT, PBE
State: relaxed

Lattice parameters (Å, degrees): 5.073 5.073 5.073 60.00 60.00 60.00
Fractional positions:
Ga 0.250 0.250 0.250
Mg 0.500 0.500 0.500
Tl 0.750 0.750 0.750
Tm 0.000 0.000 0.000

SG: F-43m
Total moment, μB/atom: 0.000
DOS at the Fermi energy, states/eV/cell: 1.9

=====

*Q*
Material: TmMgTlGa
Method: DFT, PBE
State: relaxed

Lattice parameters (Å, degrees): 4.083 4.631 4.818 90.00 90.00 90.00
Fractional positions:
Tl 0.500 0.500 0.000
Mg 0.000 0.000 0.000
Tm 0.000 0.500 0.500
Ga 0.500 0.000 0.500

SG: Pmmm
Total moment, μB/atom: 0.000
DOS at the Fermi energy, states/eV/cell: 1.7

=====

Stability comparison, relative energies in eV/atom: *P* 0.061; *Q* 0.000